VASP calculation (PBE) on crystalline SmTe3PbAu at its relaxed geometry.

Values from the calculation:
Polymorph energy (0 for the lowest one) ... 13 meV per atom
Volume ... 31.56 Å³ per atom

Cell lengths 8.3926, 4.3621, 10.7923 Å; angles 90.00, 106.57, 90.00 degrees
With the nearest neighbours (Å) after each atom.
Space group P2_1/m (No. 11)
Inequivalent atoms, fractional coordinates:
Sm  0.2024  0.2500  0.1778 [2 per cell]  6 Te 3.11-3.19, 2 Au 3.34
Te  0.0800  0.2500  0.8696 [2 per cell]  3 Sm 3.15-3.19, 2 Pb 3.27
Te  0.2147  0.2500  0.4684 [2 per cell]  3 Au 2.88-3.13, 1 Sm 3.11
Te  0.4620  0.7500  0.1657 [2 per cell]  1 Au 2.77
Pb  0.2302  0.7500  0.7066 [2 per cell]  6 Te 3.27-3.36
Au  0.3998  0.7500  0.4039 [2 per cell]  3 Te 2.77-2.88


VASP calculation (PBE) on crystalline Li2TlZn2GaPd2 at its relaxed geometry.

Values from the calculation:
Electronic total energy ... -3.17 eV/atom
Volume ... 15.57 Å³ per atom

Cell lengths 4.4148, 4.4148, 6.3892 Å; angles 90.00, 90.00, 90.00 degrees
With the nearest neighbours (Å) after each atom.
Space group P-4m2 (No. 115)
Inequivalent atoms, fractional coordinates:
Li  0.0000  0.5000  0.2340 [2 per cell]  4 Zn 2.67-2.79, 2 Ga 2.67, 2 Tl 2.79, 1 Pd 2.91
Tl  0.0000  0.0000  0.5000 [1 per cell]  4 Li 2.79, 4 Pd 2.83
Zn  0.0000  0.0000  0.0000 [1 per cell]  4 Pd 2.62, 4 Li 2.67
Zn  0.5000  0.5000  0.5000 [1 per cell]  4 Li 2.79, 4 Pd 2.83
Ga  0.5000  0.5000  0.0000 [1 per cell]  4 Pd 2.62, 4 Li 2.67
Pd  0.0000  0.5000  0.7780 [2 per cell]  4 Zn 2.62-2.83, 2 Ga 2.62, 2 Tl 2.83, 1 Li 2.91


VASP calculation (PBE) on crystalline Rb2TaAuSe6 at its relaxed geometry.

Values from the calculation:
Electronic total energy ... -4.19 eV/atom
Volume ... 28.64 Å³ per atom

Cell lengths 7.3839, 7.3839, 10.5058 Å; angles 90.00, 90.00, 90.00 degrees
With the nearest neighbours (Å) after each atom.
Space group I4/mmm (No. 139)
Inequivalent atoms, fractional coordinates:
Rb  0.0000  0.5000  0.2500 [4 per cell]  12 Se 3.69-3.70
Ta  0.0000  0.0000  0.0000 [2 per cell]  6 Se 2.54-2.55
Au  0.0000  0.0000  0.5000 [2 per cell]  6 Se 2.67-2.71
Se  0.0000  0.0000  0.2422 [4 per cell]  1 Ta 2.54, 1 Au 2.71
Se  0.2444  0.2444  0.0000 [8 per cell]  1 Ta 2.55, 1 Au 2.67


VASP calculation (PBE) on crystalline TmSnAuS3 at its relaxed geometry.

Values from the calculation:
Polymorph energy (0 for the lowest one) ... 14 meV per atom
Volume ... 24.37 Å³ per atom

Cell lengths 10.2333, 4.0070, 14.2665 Å; angles 90.00, 90.00, 90.00 degrees
With the nearest neighbours (Å) after each atom.
Space group Pnma (No. 62)
Inequivalent atoms, fractional coordinates:
Tm  0.0208  0.2500  0.2392 [4 per cell]  6 S 2.69-2.75
Sn  0.2413  0.7500  0.4393 [4 per cell]  3 S 2.72-2.78, 2 Au 3.03
Au  0.2367  0.2500  0.5988 [4 per cell]  2 S 2.35
S  0.0119  0.2500  0.6308 [4 per cell]  1 Au 2.35
S  0.0349  0.7500  0.1135 [4 per cell]  1 Au 2.35
S  0.2356  0.7500  0.8117 [4 per cell]  2 Tm 2.70-2.72, 2 Sn 2.72


VASP calculation (PBE) on crystalline DyAl2Ga at its relaxed geometry.

Values from the calculation:
Electronic total energy ... -4.24 eV/atom
Volume ... 19.51 Å³ per atom

Cell lengths 6.2522, 10.9459, 4.5604 Å; angles 90.00, 90.00, 90.00 degrees
With the nearest neighbours (Å) after each atom.
Space group Cmcm (No. 63)
Inequivalent atoms, fractional coordinates:
Dy  0.0000  0.1690  0.2500 [4 per cell]  4 Ga 3.03-3.13, 8 Al 3.07-3.17
Al  0.2210  0.4298  0.2500 [8 per cell]  3 Al 2.75-2.76, 3 Ga 2.77-2.80, 2 Dy 3.07
Ga  0.0000  0.3509  0.7500 [4 per cell]  6 Al 2.77-2.80, 2 Dy 3.03


VASP calculation (PBE) on crystalline Te3IrPbAu at its relaxed geometry.

Values from the calculation:
Electronic total energy ... -4.13 eV/atom
Volume ... 27.25 Å³ per atom

Cell lengths 11.2932, 3.1096, 9.3106 Å; angles 90.00, 90.00, 90.00 degrees
With the nearest neighbours (Å) after each atom.
Space group Pmma (No. 51)
Inequivalent atoms, fractional coordinates:
Te  0.0122  0.0000  0.2239 [4 per cell]  1 Ir 2.57, 1 Au 2.70
Te  0.2500  0.0000  0.5134 [2 per cell]  2 Ir 2.83, 1 Au 2.96, 2 Te 3.11
Ir  0.0000  0.0000  0.5000 [2 per cell]  4 Te 2.57-2.83
Pb  0.2500  0.0000  0.8857 [2 per cell]  1 Au 2.88, 2 Pb 3.11, 2 Te 3.13
Au  0.2500  0.0000  0.1952 [2 per cell]  3 Te 2.70-2.96, 1 Pb 2.88


VASP calculation (PBE) on crystalline TbHfPO at its relaxed geometry.

Values from the calculation:
Polymorph energy (0 for the lowest one) ... 169 meV per atom
Volume ... 18.61 Å³ per atom

Cell lengths 5.0830, 4.0320, 7.2646 Å; angles 90.00, 90.00, 90.00 degrees
With the nearest neighbours (Å) after each atom.
Space group Pmma (No. 51)
Inequivalent atoms, fractional coordinates:
Tb  0.2500  0.0000  0.1420 [2 per cell]  3 O 2.33-2.56
Hf  0.2500  0.5000  0.7371 [2 per cell]  2 O 2.11
P  0.2500  0.5000  0.3842 [2 per cell]  3 Hf 2.56-2.69, 2 Tb 2.68
O  0.2500  0.0000  0.8206 [2 per cell]  2 Hf 2.11, 1 Tb 2.33


VASP calculation (PBE) on crystalline LiCdAs at its relaxed geometry.

Values from the calculation:
Electronic total energy ... -2.91 eV/atom
Volume ... 20.21 Å³ per atom

Cell lengths 4.3889, 4.3889, 7.2672 Å; angles 90.00, 90.00, 120.00 degrees
With the nearest neighbours (Å) after each atom.
Space group P6_3mc (No. 186)
Inequivalent atoms, fractional coordinates:
Li  0.0000  0.0000  0.0000 [2 per cell]  3 As 2.70
Cd  0.3333  0.6667  0.2555 [2 per cell]  4 As 2.70
As  0.3333  0.6667  0.6268 [2 per cell]  3 Li 2.70, 4 Cd 2.70


VASP calculation (PBE) on crystalline Zn3B at its relaxed geometry.

Values from the calculation:
Polymorph energy (0 for the lowest one) ... 0 meV per atom
Volume ... 13.21 Å³ per atom

Cell lengths 5.0532, 3.6499, 6.0098 Å; angles 90.00, 107.56, 90.00 degrees
With the nearest neighbours (Å) after each atom.
Space group P2_1/m (No. 11)
Inequivalent atoms, fractional coordinates:
Zn  0.0747  0.2500  0.2251 [2 per cell]  2 B 2.24
Zn  0.3068  0.2500  0.9055 [2 per cell]  1 B 2.16
Zn  0.3366  0.7500  0.5802 [2 per cell]  1 B 2.23
B  0.3242  0.7500  0.2055 [2 per cell]  4 Zn 2.16-2.24


VASP calculation (PBE) on crystalline TbCo4B4 at its relaxed geometry.

Values from the calculation:
Electronic total energy ... -7.14 eV/atom
Volume ... 9.74 Å³ per atom

Cell lengths 5.0095, 5.0095, 6.9883 Å; angles 90.00, 90.00, 90.00 degrees
With the nearest neighbours (Å) after each atom.
Space group P4_2/nmc (No. 137, origin choice 2)
Inequivalent atoms, fractional coordinates:
Tb  0.2500  0.7500  0.2500 [2 per cell]  12 Co 2.83-2.96, 12 B 2.88
Co  0.0041  0.7500  0.6147 [8 per cell]  5 B 2.05-2.10
B  0.0752  0.2500  0.0898 [8 per cell]  1 B 1.75


VASP calculation (PBE) on crystalline K2CuNiH6 at its relaxed geometry.

Values from the calculation:
Electronic total energy ... -3.20 eV/atom
Volume ... 10.11 Å³ per atom

Cell lengths 7.3944, 7.3944, 7.3944 Å; angles 90.00, 90.00, 90.00 degrees
With the nearest neighbours (Å) after each atom.
Space group Fm-3m (No. 225)
Inequivalent atoms, fractional coordinates:
K  0.2500  0.2500  0.2500 [8 per cell]  12 H 2.62
Cu  0.0000  0.0000  0.0000 [4 per cell]  6 H 2.05
Ni  0.0000  0.0000  0.5000 [4 per cell]  6 H 1.65
H  0.0000  0.0000  0.2771 [24 per cell]  1 Ni 1.65


VASP calculation (PBE) on crystalline PrTeNO at its relaxed geometry.

Values from the calculation:
Polymorph energy (0 for the lowest one) ... 0 meV per atom
Volume ... 19.88 Å³ per atom

Cell lengths 5.9485, 9.2013, 5.8105 Å; angles 90.00, 90.00, 90.00 degrees
With the nearest neighbours (Å) after each atom.
Space group Pca2_1 (No. 29)
Inequivalent atoms, fractional coordinates:
Pr  0.0256  0.1224  0.0000 [4 per cell]  4 O 2.36-2.39, 2 N 2.57-2.58
Te  0.0579  0.3973  0.4512 [4 per cell]  2 N 2.04-2.09
N  0.2175  0.2999  0.7213 [4 per cell]  2 Te 2.04-2.09
O  0.2481  0.9795  0.2497 [4 per cell]  4 Pr 2.36-2.39